Entry 1:
GaCu2Ag2Pd5 | PBE-GGA | relaxed

```
GaCu2Ag2Pd5
1.0
2.966 0.000 0.000
0.000 10.352 0.000
0.000 0.000 10.352
Ga Cu Ag Pd
2 4 4 10
Direct
0.000 0.000 0.000
0.000 0.500 0.500
0.000 0.144 0.644
0.000 0.856 0.356
0.000 0.644 0.856
0.000 0.356 0.144
0.000 0.674 0.174
0.000 0.326 0.826
0.000 0.174 0.326
0.000 0.826 0.674
0.500 0.198 0.022
0.500 0.802 0.978
0.500 0.022 0.802
0.500 0.698 0.478
0.500 0.978 0.198
0.500 0.302 0.522
0.500 0.522 0.698
0.500 0.478 0.302
0.500 0.500 0.000
0.500 0.000 0.500
```

Calculated values
crystal system	tetragonal
final energy	-4.417	eV/atom
theoretical density	9.9	g/cm3
energy of formation from the pure elements	-0.128	eV per atom
total magnetization	0.00	Bohr magnetons per cell

=====

Entry 2:
Fe2SnBiBr | PBE-GGA | relaxed

```
Fe2SnBiBr
1.0
5.004 0.000 0.000
0.000 5.602 0.000
0.000 0.000 5.004
Fe Bi Br Sn
2 1 1 1
Direct
0.000 0.000 0.500
0.500 0.000 0.000
0.500 0.500 0.500
0.000 0.500 0.000
0.000 0.000 0.000
```

Calculated values
crystal system	tetragonal
final energy	-4.230	eV/atom
theoretical density	6.1	g/cm3
total magnetization	6.02	Bohr magnetons per cell

=====

Entry 3:
Cs2MnMo | PBE-GGA | relaxed

```
Cs2MnMo
1.0
7.848 -5.379 -3.391
-8.483 1.584 5.248
-5.032 -1.010 -8.699
Cs Mn Mo
4 2 2
Direct
0.688 0.375 0.813
0.562 0.875 0.187
0.125 0.312 0.687
0.625 0.438 0.313
0.500 0.500 0.000
0.750 0.250 0.500
0.000 0.000 0.000
0.250 0.750 0.500
```

Calculated values
crystal system	tetragonal
final energy	-3.920	eV/atom
theoretical density	3.3	g/cm3
energy of formation from the pure elements	1.507	eV per atom
total magnetization	1.19	Bohr magnetons per cell

=====

Entry 4:
SrLi3 | PBE-GGA | relaxed

```
SrLi3
1.0
7.235 0.000 0.000
-3.617 6.266 0.000
0.000 0.000 5.313
Li Sr
6 2
Direct
0.865 0.730 0.250
0.270 0.135 0.250
0.865 0.135 0.250
0.135 0.270 0.750
0.730 0.865 0.750
0.135 0.865 0.750
0.333 0.667 0.250
0.667 0.333 0.750
```

Calculated values
crystal system	hexagonal
final energy	-1.805	eV/atom
theoretical density	1.5	g/cm3
energy of formation from the pure elements	0.051	eV per atom
total magnetization	0.00	Bohr magnetons per cell

=====

Entry 5:
AlFeBr2 | PBE-GGA | relaxed

```
AlFeBr2
1.0
-0.595 -1.315 -3.088
3.798 -4.795 1.310
-3.330 -2.206 1.581
Fe Br Al
1 2 1
Direct
0.500 0.000 0.500
0.000 0.000 0.000
0.500 0.500 0.000
0.000 0.500 0.500
```

Calculated values
crystal system	orthorhombic
final energy	-3.542	eV/atom
theoretical density	4.4	g/cm3
total magnetization	3.07	Bohr magnetons per cell

=====

Entry 6:
KNd2Br5 | PBE-GGA | relaxed

```
KNd2Br5
1.0
7.573 0.000 0.000
0.000 9.178 0.002
0.000 0.038 14.200
K Nd Br
4 8 20
Direct
0.057 0.496 0.336
0.943 0.504 0.664
0.557 0.504 0.164
0.443 0.496 0.836
0.106 0.990 0.343
0.894 0.010 0.657
0.606 0.010 0.157
0.394 0.990 0.843
0.033 0.203 0.999
0.967 0.797 0.001
0.533 0.797 0.501
0.467 0.203 0.499
0.177 0.526 0.075
0.823 0.474 0.925
0.677 0.474 0.425
0.323 0.526 0.575
0.853 0.254 0.185
0.147 0.746 0.815
0.353 0.746 0.315
0.647 0.254 0.685
0.341 0.241 0.293
0.659 0.759 0.707
0.841 0.759 0.207
0.159 0.241 0.793
0.451 0.208 0.998
0.549 0.792 0.002
0.951 0.792 0.502
0.049 0.208 0.498
0.693 0.025 0.367
0.307 0.975 0.633
0.193 0.975 0.133
0.807 0.025 0.867
```

Calculated values
crystal system	monoclinic
final energy	-4.003	eV/atom
theoretical density	4.9	g/cm3
total magnetization	0.00	Bohr magnetons per cell

=====

Entry 7:
OsPt3Rh12 | PBE-GGA | relaxed

```
OsPt3Rh12
1.0
-1.262 -3.460 -1.165
3.134 -1.659 1.532
-7.508 -1.785 13.427
Os Pt Rh
1 3 12
Direct
0.000 0.000 0.000
0.000 0.000 0.250
0.000 0.000 0.500
0.000 0.000 0.750
0.500 0.500 0.000
0.500 0.500 0.248
0.500 0.500 0.500
0.500 0.500 0.752
0.500 0.000 0.121
0.500 0.000 0.375
0.500 0.000 0.625
0.500 0.000 0.879
0.000 0.500 0.121
0.000 0.500 0.375
0.000 0.500 0.625
0.000 0.500 0.879
```

Calculated values
crystal system	tetragonal
final energy	-7.360	eV/atom
theoretical density	14.4	g/cm3
energy of formation from the pure elements	-0.012	eV per atom
total magnetization	0.00	Bohr magnetons per cell

=====

Entry 8:
CsK2P2S6 | PBE-GGA | relaxed

```
CsK2P2S6
1.0
6.974 0.000 0.000
3.487 6.039 0.000
3.487 2.013 9.592
Cs K P S
1 2 2 6
Direct
0.000 0.000 0.000
0.794 0.794 0.617
0.206 0.206 0.383
0.427 0.427 0.718
0.573 0.573 0.282
0.728 0.728 0.306
0.237 0.728 0.306
0.728 0.237 0.306
0.272 0.763 0.694
0.763 0.272 0.694
0.272 0.272 0.694
```

Calculated values
crystal system	trigonal
final energy	-4.201	eV/atom
theoretical density	1.9	g/cm3
total magnetization	0.87	Bohr magnetons per cell